# 1
Material: PmAsPt
Method: DFT, PBE
State: optimized geometry

Cell: 4.3297 4.3297 8.0198 Å, 90.00 90.00 120.00°
With the nearest neighbours (Å) after each atom.
Positions (direct):
Pm 0.0000 0.0000 0.0000  6 Pt 3.20, 6 As 3.20
Pm 0.0000 0.0000 0.5000  6 As 3.20, 6 Pt 3.20
As 0.3333 0.6667 0.2500  3 Pt 2.50
As 0.6667 0.3333 0.7500  3 Pt 2.50
Pt 0.3333 0.6667 0.7500  3 As 2.50
Pt 0.6667 0.3333 0.2500  3 As 2.50

Values from the calculation:
The symmetry is P6_3/mmc (194). The value obtained for the polymorph energy (0 for the lowest one) is 0.010 eV per formula unit. The volume is 21.7 A^3/atom. For the formation enthalpy at 0 K, the calculation gives -1.238 eV per atom.


# 2
Material: Pm3As4Pt4
Method: DFT, PBE
State: optimized geometry

Cell: 13.0001 13.0001 13.0001 Å, 161.57 160.77 26.76°
With the nearest neighbours (Å) after each atom.
Positions (direct):
Pm 0.0000 0.0000 0.0000  4 Pt 3.16, 8 As 3.27
Pm 0.3495 0.8495 0.5000  8 Pt 3.14-3.45, 6 As 3.18-3.27
Pm 0.6505 0.1505 0.5000  8 Pt 3.14-3.45, 6 As 3.18-3.27
As 0.1913 0.6913 0.5000  5 Pt 2.46-2.65
As 0.4490 0.4490 0.0000  2 Pt 2.43, 1 As 2.58
As 0.5510 0.5510 0.0000  2 Pt 2.43, 1 As 2.58
As 0.8087 0.3087 0.5000  5 Pt 2.46-2.65
Pt 0.0939 0.5939 0.5000  3 As 2.43-2.46
Pt 0.2564 0.2564 0.0000  4 As 2.54-2.65
Pt 0.7436 0.7436 0.0000  4 As 2.54-2.65
Pt 0.9061 0.4061 0.5000  3 As 2.43-2.46

Values from the calculation:
The symmetry is Immm (71). The volume is 20.8 A^3/atom. For the formation enthalpy at 0 K, the calculation gives -1.020 eV per atom.


# 3
Material: Pm2AsPt
Method: DFT, PBE
State: optimized geometry

Cell: 5.1284 5.1284 5.1284 Å, 60.00 60.00 60.00°
With the nearest neighbours (Å) after each atom.
Positions (direct):
Pm 0.2500 0.2500 0.2500  4 As 3.14, 4 Pt 3.14
Pm 0.7500 0.7500 0.7500  4 As 3.14, 4 Pt 3.14
As 0.0000 0.0000 0.0000  8 Pm 3.14
Pt 0.5000 0.5000 0.5000  8 Pm 3.14

Values from the calculation:
The symmetry is Fm-3m (225). The value obtained for the polymorph energy (0 for the lowest one) is 1.044 eV per formula unit. The volume is 23.8 A^3/atom. For the formation enthalpy at 0 K, the calculation gives -1.010 eV per atom.


# 4
Material: Pm2AsPt
Method: DFT, PBE
State: optimized geometry

Cell: 7.4118 7.4118 7.4118 Å, 32.78 32.78 32.78°
With the nearest neighbours (Å) after each atom.
Positions (direct):
Pm 0.2491 0.2491 0.2491  3 Pt 2.97, 3 As 2.99
Pm 0.7509 0.7509 0.7509  3 Pt 2.97, 3 As 2.99
As 0.0000 0.0000 0.0000  6 Pm 2.99
Pt 0.5000 0.5000 0.5000  6 Pm 2.97

Values from the calculation:
The symmetry is R-3m (166). The value obtained for the polymorph energy (0 for the lowest one) is 0.318 eV per formula unit. The volume is 26.5 A^3/atom. For the formation enthalpy at 0 K, the calculation gives -1.192 eV per atom.